YZr2Si: optimized geometry, PBE-GGA. Values from VASP.

Quantum ESPRESSO input file:
```
&SYSTEM
  ibrav = 0, nat = 4, ntyp = 3
/
ATOMIC_SPECIES
Zr 91.22 Zr.upf
Y 88.91 Y.upf
Si 28.09 Si.upf
ATOMIC_POSITIONS angstrom
Zr 0.2182 0.1085 -0.0184
Zr 1.4865 1.8711 2.1820
Y 4.1724 3.2066 1.9553
Si 2.8459 1.4150 -0.2402
CELL_PARAMETERS angstrom
-1.4032 3.0464 1.3214
0.8162 -1.0741 3.3430
6.2066 3.0860 -0.5238
```

Calculated values
energy = -30.12 eV for the cell shown
energy above the most stable polymorph in this dataset = 0.003 eV/atom
magnetic moment = 0.910 μB/cell
space group = P4mm (99)
energy relative to the elements, uncorrected = -0.2838 eV/atom

=====

Y2ZrSi: optimized geometry, PBE-GGA. Values from VASP.

Quantum ESPRESSO input file:
```
&SYSTEM
  ibrav = 0, nat = 4, ntyp = 3
/
ATOMIC_SPECIES
Zr 91.22 Zr.upf
Y 88.91 Y.upf
Si 28.09 Si.upf
ATOMIC_POSITIONS angstrom
Zr 0.0000 3.7701 2.8491
Y 0.0000 5.7801 5.2854
Y 2.2106 1.7597 1.8558
Si 2.2106 3.7704 4.3665
CELL_PARAMETERS angstrom
4.4212 0.0000 0.0000
0.0000 4.0190 -0.0014
0.0000 2.0131 5.7441
```

Calculated values
energy = -28.07 eV for the cell shown
energy above the most stable polymorph in this dataset = 0.001 eV/atom
magnetic moment = 0.000 μB/cell
space group = Amm2 (38)
energy relative to the elements, uncorrected = -0.2916 eV/atom

=====

Question: Look up the magnetic moment of the first one.
Answer: 0.910 μB/cell

=====

Question: What is the magnetic moment in the first record?
Answer: 0.910 μB/cell

=====

Question: What is the energy relative to the elements, uncorrected in the second record?
Answer: -0.2916 eV/atom

=====

Question: Which of these has the lowest energy above the most stable polymorph in this dataset?
Answer: Y2ZrSi